(1)
# BeNiBr2

BeNiBr2 after structural relaxation (GGA-PBE, Alexandria via LeMat-Bulk).

Output
Formation energy from raw total energies (eV per atom): 0.00
Polymorph energy (0 for the lowest one) (eV/atom): 0.246

a b c (Å): 3.327 3.327 7.357
angles (deg): 90.00 90.00 90.00
Positions (direct):
Be (0.000, 0.000, 0.000)
Ni (0.500, 0.500, 0.905)
Br (0.000, 0.000, 0.702)
Br (0.500, 0.500, 0.211)

(2)
# BeNiBr2

BeNiBr2 after structural relaxation (GGA-PBE, Alexandria via LeMat-Bulk).

Output
Formation energy from raw total energies (eV per atom): -0.15
Polymorph energy (0 for the lowest one) (eV/atom): 0.095

a b c (Å): 3.955 3.955 7.358
angles (deg): 90.00 90.00 122.64
Positions (direct):
Be (0.000, 0.000, 0.000)
Ni (0.500, 0.500, 0.115)
Br (0.000, 0.000, 0.312)
Br (0.500, 0.500, 0.806)

(3)
# Be2NiSbBr

Be2NiSbBr after structural relaxation (GGA-PBE, Alexandria via LeMat-Bulk).

Output
Formation energy from raw total energies (eV per atom): 0.82

a b c (Å): 4.759 4.759 4.788
angles (deg): 90.00 90.00 90.00
Positions (direct):
Be (0.000, 0.500, 0.000)
Be (0.500, 0.000, 0.000)
Ni (0.000, 0.000, 0.500)
Sb (0.000, 0.000, 0.000)
Br (0.500, 0.500, 0.500)

(4)
# BeNiSeBr2

BeNiSeBr2 after structural relaxation (GGA-PBE, Alexandria via LeMat-Bulk).

Output
Formation energy from raw total energies (eV per atom): 0.55
Polymorph energy (0 for the lowest one) (eV/atom): 0.112

a b c (Å): 4.793 4.793 4.885
angles (deg): 90.00 90.00 90.00
Positions (direct):
Be (0.000, 0.000, 0.000)
Ni (0.500, 0.500, 0.500)
Se (0.500, 0.500, 0.000)
Br (0.000, 0.500, 0.500)
Br (0.500, 0.000, 0.500)

(5)
# BeNiSe2Br

BeNiSe2Br after structural relaxation (GGA-PBE, Alexandria via LeMat-Bulk).

Output
Formation energy from raw total energies (eV per atom): 0.65
Polymorph energy (0 for the lowest one) (eV/atom): 0.122

a b c (Å): 4.701 4.701 4.847
angles (deg): 90.00 90.00 90.00
Positions (direct):
Be (0.000, 0.000, 0.000)
Ni (0.500, 0.500, 0.500)
Se (0.000, 0.500, 0.500)
Se (0.500, 0.000, 0.500)
Br (0.500, 0.500, 0.000)

(6)
# BeNiSe2Br

BeNiSe2Br after structural relaxation (GGA-PBE, Alexandria via LeMat-Bulk).

Output
Formation energy from raw total energies (eV per atom): 0.53
Polymorph energy (0 for the lowest one) (eV/atom): 0.000

a b c (Å): 4.226 4.226 6.783
angles (deg): 90.00 90.00 90.00
Positions (direct):
Be (0.000, 0.000, 0.000)
Ni (0.500, 0.500, 0.500)
Se (0.000, 0.500, 0.000)
Se (0.500, 0.000, 0.000)
Br (0.000, 0.000, 0.500)

(7)
# BeNiSeBr2

BeNiSeBr2 after structural relaxation (GGA-PBE, Alexandria via LeMat-Bulk).

Output
Formation energy from raw total energies (eV per atom): 0.44
Polymorph energy (0 for the lowest one) (eV/atom): 0.000

a b c (Å): 4.708 4.708 4.827
angles (deg): 90.00 90.00 90.00
Positions (direct):
Be (0.000, 0.000, 0.000)
Ni (0.500, 0.500, 0.500)
Se (0.000, 0.000, 0.500)
Br (0.000, 0.500, 0.000)
Br (0.500, 0.000, 0.000)

(8)
# BeSi2NiBr

BeSi2NiBr after structural relaxation (GGA-PBE, Alexandria via LeMat-Bulk).

Output
Formation energy from raw total energies (eV per atom): 0.30

a b c (Å): 4.418 4.418 4.379
angles (deg): 90.00 90.00 90.00
Positions (direct):
Be (0.000, 0.000, 0.000)
Si (0.000, 0.500, 0.500)
Si (0.500, 0.000, 0.500)
Ni (0.000, 0.000, 0.500)
Br (0.500, 0.500, 0.000)

(9)
# BeBrO2

BeBrO2 after structural relaxation (GGA-PBE, Alexandria via LeMat-Bulk).

Output
Formation energy from raw total energies (eV per atom): 0.01
Polymorph energy (0 for the lowest one) (eV/atom): 0.799

a b c (Å): 6.623 6.623 6.623
angles (deg): 26.65 26.65 26.65
Positions (direct):
Be (0.000, 0.000, 0.000)
Br (0.500, 0.500, 0.500)
O (0.075, 0.075, 0.075)
O (0.925, 0.925, 0.925)

(10)
# Be3BrO

Be3BrO after structural relaxation (GGA-PBE, Alexandria via LeMat-Bulk).

Output
Formation energy from raw total energies (eV per atom): 1.78
Polymorph energy (0 for the lowest one) (eV/atom): 1.442

a b c (Å): 4.372 4.372 4.372
angles (deg): 90.00 90.00 90.00
Positions (direct):
Be (0.000, 0.000, 0.500)
Be (0.000, 0.500, 0.000)
Be (0.500, 0.000, 0.000)
Br (0.000, 0.000, 0.000)
O (0.500, 0.500, 0.500)

(11)
# BeBr2O2

BeBr2O2 after structural relaxation (GGA-PBE, Alexandria via LeMat-Bulk).

Output
Formation energy from raw total energies (eV per atom): 0.45
Polymorph energy (0 for the lowest one) (eV/atom): 0.311

a b c (Å): 5.056 5.056 5.056
angles (deg): 119.77 119.77 90.40
Positions (direct):
Be (0.000, 0.000, 0.000)
Br (0.250, 0.750, 0.500)
Br (0.750, 0.250, 0.500)
O (0.413, 0.413, 0.000)
O (0.587, 0.587, 0.000)

(12)
# BeBrO2

BeBrO2 after structural relaxation (GGA-PBE, Alexandria via LeMat-Bulk).

Output
Formation energy from raw total energies (eV per atom): -0.64
Polymorph energy (0 for the lowest one) (eV/atom): 0.154

a b c (Å): 5.266 5.266 5.266
angles (deg): 126.23 126.23 79.51
Positions (direct):
Be (0.000, 0.000, 0.000)
Be (0.750, 0.250, 0.500)
Br (0.250, 0.750, 0.500)
Br (0.500, 0.500, 0.000)
O (0.375, 0.235, 0.360)
O (0.765, 0.125, 0.140)
O (0.875, 0.015, 0.640)
O (0.985, 0.625, 0.860)

(13)
# BeBrO2

BeBrO2 after structural relaxation (GGA-PBE, Alexandria via LeMat-Bulk).

Output
Formation energy from raw total energies (eV per atom): -0.79
Polymorph energy (0 for the lowest one) (eV/atom): 0.000

a b c (Å): 5.965 5.965 5.965
angles (deg): 27.74 27.74 27.74
Positions (direct):
Be (0.000, 0.000, 0.000)
Br (0.500, 0.500, 0.500)
O (0.387, 0.387, 0.387)
O (0.613, 0.613, 0.613)

(14)
# Be3BrO

Be3BrO after structural relaxation (GGA-PBE, Alexandria via LeMat-Bulk).

Output
Formation energy from raw total energies (eV per atom): 0.34
Polymorph energy (0 for the lowest one) (eV/atom): 0.000

a b c (Å): 3.909 3.909 3.909
angles (deg): 90.00 90.00 90.00
Positions (direct):
Be (0.000, 0.000, 0.500)
Be (0.000, 0.500, 0.000)
Be (0.500, 0.000, 0.000)
Br (0.500, 0.500, 0.500)
O (0.000, 0.000, 0.000)

(15)
# BeBrO2

BeBrO2 after structural relaxation (GGA-PBE, Alexandria via LeMat-Bulk).

Output
Formation energy from raw total energies (eV per atom): 0.84
Polymorph energy (0 for the lowest one) (eV/atom): 1.636

a b c (Å): 3.960 3.960 3.960
angles (deg): 60.00 60.00 60.00
Positions (direct):
Be (0.000, 0.000, 0.000)
Br (0.500, 0.500, 0.500)
O (0.250, 0.250, 0.250)
O (0.750, 0.750, 0.750)

(16)
# BeBr2O2

BeBr2O2 after structural relaxation (GGA-PBE, Alexandria via LeMat-Bulk).

Output
Formation energy from raw total energies (eV per atom): 0.14
Polymorph energy (0 for the lowest one) (eV/atom): 0.000

a b c (Å): 5.603 5.603 4.496
angles (deg): 90.00 90.00 90.00
Positions (direct):
Be (0.000, 0.000, 0.000)
Be (0.500, 0.500, 0.000)
Br (0.190, 0.310, 0.500)
Br (0.310, 0.810, 0.500)
Br (0.690, 0.190, 0.500)
Br (0.810, 0.690, 0.500)
O (0.223, 0.277, 0.000)
O (0.277, 0.777, 0.000)
O (0.723, 0.223, 0.000)
O (0.777, 0.723, 0.000)

(17)
# Be2OsBrO

Be2OsBrO after structural relaxation (GGA-PBE, Alexandria via LeMat-Bulk).

Output
Formation energy from raw total energies (eV per atom): 2.16

a b c (Å): 4.144 4.144 4.646
angles (deg): 90.00 90.00 90.00
Positions (direct):
Be (0.000, 0.500, 0.000)
Be (0.500, 0.000, 0.000)
Os (0.000, 0.000, 0.500)
Br (0.000, 0.000, 0.000)
O (0.500, 0.500, 0.500)

(18)
# BeRhBr2O

BeRhBr2O after structural relaxation (GGA-PBE, Alexandria via LeMat-Bulk).

Output
Formation energy from raw total energies (eV per atom): 0.24

a b c (Å): 5.258 5.258 3.698
angles (deg): 90.00 90.00 90.00
Positions (direct):
Be (0.000, 0.000, 0.000)
Rh (0.500, 0.500, 0.500)
Br (0.000, 0.500, 0.500)
Br (0.500, 0.000, 0.500)
O (0.500, 0.500, 0.000)

(19)
# BeSBrO2

BeSBrO2 after structural relaxation (GGA-PBE, Alexandria via LeMat-Bulk).

Output
Formation energy from raw total energies (eV per atom): -0.10

a b c (Å): 3.432 3.432 6.576
angles (deg): 90.00 90.00 90.00
Positions (direct):
Be (0.000, 0.000, 0.000)
S (0.000, 0.000, 0.500)
Br (0.500, 0.500, 0.500)
O (0.000, 0.500, 0.000)
O (0.500, 0.000, 0.000)

(20)
# Be2OsBr

Be2OsBr after structural relaxation (GGA-PBE, Alexandria via LeMat-Bulk).

Output
Formation energy from raw total energies (eV per atom): 0.32
Polymorph energy (0 for the lowest one) (eV/atom): 0.105

a b c (Å): 3.892 3.892 5.876
angles (deg): 96.63 96.63 46.17
Positions (direct):
Be (0.000, 0.000, 0.000)
Be (0.724, 0.724, 0.137)
Os (0.449, 0.449, 0.270)
Br (0.080, 0.080, 0.645)

Raw total energy, record by record: -3.212, -3.364, -2.990, -2.713, -2.981, -3.103, -2.824, -4.105, -3.822, -1.782, -2.952, -4.467, -4.621, -3.224, -2.985, -3.262, -2.904, -3.641, -3.984, -4.766 eV per atom